Compound: Rb2Cd3I8
Source: Alexandria
Functional: GGA-PBE
Structure: optimized geometry

Summary:
Volume in Å³ per cell: 593
Raw formation energy in eV/f.u.: -10.9
Uncorrected energy in eV/atom: -2.1503
E above lowest polymorph in eV per atom: 0.008

Lattice parameters (Å, degrees): 7.8619 8.8786 9.9316 116.55 105.16 90.00
Sites, in units of the cell vectors:
Rb1 0.3287 0.2604 0.5207
Rb2 0.6713 0.7396 0.4793
Cd1 0.5000 0.0000 0.0000
Cd2 0.0000 0.2568 0.0000
Cd3 0.0000 0.7432 0.0000
I1 0.9545 0.6089 0.2178
I2 0.0455 0.3911 0.7822
I3 0.9006 0.0995 0.1991
I4 0.0994 0.9005 0.8009
I5 0.6100 0.6670 0.8072
I6 0.6100 0.1402 0.8072
I7 0.3900 0.8598 0.1928
I8 0.3900 0.3330 0.1928

Compound: RbCdI
Source: Alexandria
Functional: GGA-PBE
Structure: optimized geometry

Summary:
Volume in Å³ per cell: 134
Raw formation energy in eV/f.u.: -2.1
Uncorrected energy in eV/atom: -1.8315
E above lowest polymorph in eV per atom: 0.103

Lattice parameters (Å, degrees): 4.6584 4.6609 6.9739 109.26 109.42 90.04
Sites, in units of the cell vectors:
Rb1 0.5117 0.2104 0.5394
Cd1 0.8236 0.5250 0.1628
I1 0.1577 0.8551 0.8321

Compound: Rb2Cd2I
Source: Alexandria
Functional: GGA-PBE
Structure: optimized geometry

Summary:
Volume in Å³ per cell: 521
Raw formation energy in eV/f.u.: -1.9
Uncorrected energy in eV/atom: -1.4352
E above lowest polymorph in eV per atom: 0.005

Lattice parameters (Å, degrees): 9.9890 9.9890 5.2212 90.00 90.00 90.00
Sites, in units of the cell vectors:
I1 0.0000 0.0000 0.0000
I2 0.5000 0.5000 0.0000
Rb1 0.3090 0.8090 0.0000
Rb2 0.8090 0.6910 0.0000
Rb3 0.6910 0.1910 0.0000
Rb4 0.1910 0.3090 0.0000
Cd1 0.1073 0.6073 0.5000
Cd2 0.6073 0.8927 0.5000
Cd3 0.8927 0.3927 0.5000
Cd4 0.3927 0.1073 0.5000

Compound: Rb2CdRhI6
Source: Alexandria
Functional: GGA-PBE
Structure: optimized geometry

Summary:
Volume in Å³ per cell: 390
Raw formation energy in eV/f.u.: -7.3
Uncorrected energy in eV/atom: -2.6778

Lattice parameters (Å, degrees): 8.2147 8.2147 8.1924 59.91 59.91 90.00
Sites, in units of the cell vectors:
I1 0.2620 0.2620 0.4760
I2 0.7380 0.7380 0.5240
I3 0.2637 0.2637 0.0000
I4 0.7363 0.7363 0.0000
I5 0.7363 0.2637 0.0000
I6 0.2637 0.7363 0.0000
Rh1 0.5000 0.5000 0.0000
Rb1 0.7500 0.2500 0.5000
Rb2 0.2500 0.7500 0.5000
Cd1 0.0000 0.0000 0.0000

Compound: Rb2CdRuI6
Source: Alexandria
Functional: GGA-PBE
Structure: optimized geometry

Summary:
Volume in Å³ per cell: 394
Raw formation energy in eV/f.u.: -6.1
Uncorrected energy in eV/atom: -2.7565

Lattice parameters (Å, degrees): 8.2374 8.2374 8.2211 59.93 59.93 90.00
Last column: magnetic moment on the atom in μB.
Sites, in units of the cell vectors:
I1 0.2624 0.2624 0.4752  0.01
I2 0.7376 0.7376 0.5248  0.01
I3 0.2636 0.2636 0.0000  0.01
I4 0.7364 0.7364 0.0000  0.01
I5 0.7364 0.2636 0.0000  0.01
I6 0.2636 0.7364 0.0000  0.01
Ru1 0.5000 0.5000 0.0000  0.67
Rb1 0.7500 0.2500 0.5000  0.00
Rb2 0.2500 0.7500 0.5000  0.00
Cd1 0.0000 0.0000 0.0000  0.01

Compound: Rb2ScCdI6
Source: Alexandria
Functional: GGA-PBE
Structure: optimized geometry

Summary:
Volume in Å³ per cell: 447
Raw formation energy in eV/f.u.: -10.8
Uncorrected energy in eV/atom: -2.9311

Lattice parameters (Å, degrees): 8.5861 8.5861 8.5767 59.96 59.96 90.00
Sites, in units of the cell vectors:
I1 0.2595 0.2595 0.4809
I2 0.7405 0.7405 0.5191
I3 0.2602 0.2602 0.0000
I4 0.7398 0.7398 0.0000
I5 0.7398 0.2602 0.0000
I6 0.2602 0.7398 0.0000
Sc1 0.5000 0.5000 0.0000
Rb1 0.7500 0.2500 0.5000
Rb2 0.2500 0.7500 0.5000
Cd1 0.0000 0.0000 0.0000

Compound: RbCd2SeI
Source: Alexandria
Functional: GGA-PBE
Structure: optimized geometry

Summary:
Volume in Å³ per cell: 218
Raw formation energy in eV/f.u.: 0.4
Uncorrected energy in eV/atom: -1.4883

Lattice parameters (Å, degrees): 6.0348 5.9884 6.0348 90.00 90.00 90.00
Sites, in units of the cell vectors:
I1 0.0000 0.0000 0.0000
Se1 0.0000 0.5000 0.0000
Rb1 0.5000 0.5000 0.5000
Cd1 0.0000 0.0000 0.5000
Cd2 0.5000 0.0000 0.0000

Compound: Rb2CdSeI
Source: Alexandria
Functional: GGA-PBE
Structure: optimized geometry

Summary:
Volume in Å³ per cell: 241
Raw formation energy in eV/f.u.: -4.6
Uncorrected energy in eV/atom: -2.4889

Lattice parameters (Å, degrees): 6.7064 6.7064 5.3629 90.00 90.00 90.00
Sites, in units of the cell vectors:
I1 0.5000 0.5000 0.5000
Se1 0.0000 0.0000 0.0000
Rb1 0.0000 0.5000 0.0000
Rb2 0.5000 0.0000 0.0000
Cd1 0.0000 0.0000 0.5000